Record 1
{"formula": "RhSeI3", "functional": "SCAN", "state": "single point on PBEsol structure", "final_energy_ev_per_atom": -32.35, "raw_formation_energy_ev_per_atom": 0.466, "lattice_angstrom": [[-1.917, 4.854, -0.309], [-0.046, -0.350, -5.216], [-4.864, -1.910, 0.171]], "species": ["Se", "I", "I", "I", "Rh"], "fractional_positions": [[0.500, 0.500, 0.500], [0.000, 0.000, 0.500], [0.000, 0.500, 0.000], [0.500, 0.000, 0.000], [0.000, 0.000, 0.000]]}


Record 2
{"formula": "RhSeI2", "functional": "SCAN", "state": "single point on PBEsol structure", "final_energy_ev_per_atom": -30.91, "raw_formation_energy_ev_per_atom": 0.923, "polymorph_energy_kj_per_mol_atoms": 43.7, "lattice_angstrom": [[4.976, 0.000, 0.000], [2.488, 4.309, 0.000], [2.488, 1.436, 4.063]], "species": ["Se", "Rh", "I", "I"], "fractional_positions": [[0.000, 0.000, 0.000], [0.500, 0.500, 0.500], [0.250, 0.250, 0.250], [0.750, 0.750, 0.750]]}


Record 3
{"formula": "RhSeI2", "functional": "SCAN", "state": "single point on PBEsol structure", "final_energy_ev_per_atom": -31.36, "raw_formation_energy_ev_per_atom": 0.470, "polymorph_energy_kj_per_mol_atoms": 0.0, "lattice_angstrom": [[6.481, 0.105, 0.170], [-2.373, 6.032, -0.170], [-2.373, -2.855, 5.317]], "species": ["I", "I", "I", "I", "Rh", "Rh", "Se", "Se"], "fractional_positions": [[0.547, 0.672, 0.625], [0.047, 0.375, 0.922], [0.453, 0.078, 0.125], [0.953, 0.875, 0.328], [0.000, 0.000, 0.000], [0.500, 0.750, 0.250], [0.000, 0.500, 0.500], [0.500, 0.250, 0.750]]}


Record 4
{"formula": "RhSe2I", "functional": "SCAN", "state": "single point on PBEsol structure", "final_energy_ev_per_atom": -27.99, "raw_formation_energy_ev_per_atom": -0.321, "lattice_angstrom": [[-1.061, -3.360, -1.470], [0.969, -0.909, -3.579], [6.586, -4.655, 0.929]], "species": ["Se", "Se", "I", "Rh"], "fractional_positions": [[0.883, 0.883, 0.352], [0.117, 0.117, 0.648], [0.000, 0.000, 0.000], [0.500, 0.500, 0.500]]}


Record 5
{"formula": "SiTeRhI2", "functional": "SCAN", "state": "single point on PBEsol structure", "final_energy_ev_per_atom": -29.99, "raw_formation_energy_ev_per_atom": 0.917, "lattice_angstrom": [[5.253, 0.000, 0.000], [0.000, 5.276, 0.000], [0.000, 0.000, 5.276]], "species": ["I", "I", "Rh", "Te", "Si"], "fractional_positions": [[0.000, 0.000, 0.500], [0.000, 0.500, 0.000], [0.500, 0.500, 0.500], [0.500, 0.000, 0.000], [0.000, 0.000, 0.000]]}


Record 6
{"formula": "SnRhI3", "functional": "SCAN", "state": "single point on PBEsol structure", "final_energy_ev_per_atom": -35.89, "raw_formation_energy_ev_per_atom": 0.098, "lattice_angstrom": [[-1.162, -4.084, 3.159], [5.077, -1.492, -0.061], [0.937, 3.018, 4.245]], "species": ["Rh", "I", "I", "I", "Sn"], "fractional_positions": [[0.000, 0.000, 0.000], [0.000, 0.500, 0.000], [0.500, 0.000, 0.000], [0.000, 0.000, 0.500], [0.500, 0.500, 0.500]]}


Record 7
{"formula": "SrTeRhI2", "functional": "SCAN", "state": "single point on PBEsol structure", "final_energy_ev_per_atom": -34.07, "raw_formation_energy_ev_per_atom": -0.713, "lattice_angstrom": [[-5.313, -0.049, 0.539], [0.395, -3.990, 3.528], [0.370, 3.546, 3.969]], "species": ["I", "I", "Te", "Rh", "Sr"], "fractional_positions": [[0.000, 0.500, 0.000], [0.500, 0.000, 0.000], [0.000, 0.000, 0.500], [0.000, 0.000, 0.000], [0.500, 0.500, 0.500]]}


Record 8
{"formula": "TaTeRhI2", "functional": "SCAN", "state": "single point on PBEsol structure", "final_energy_ev_per_atom": -41.25, "raw_formation_energy_ev_per_atom": 0.972, "lattice_angstrom": [[5.331, 0.000, 0.000], [0.000, 5.371, 0.000], [0.000, 0.000, 5.371]], "species": ["I", "I", "Te", "Ta", "Rh"], "fractional_positions": [[0.000, 0.500, 0.000], [0.000, 0.000, 0.500], [0.500, 0.000, 0.000], [0.000, 0.000, 0.000], [0.500, 0.500, 0.500]]}


Record 9
{"formula": "TcRh2I", "functional": "SCAN", "state": "single point on PBEsol structure", "final_energy_ev_per_atom": -34.02, "raw_formation_energy_ev_per_atom": 0.817, "lattice_angstrom": [[4.496, 0.000, 0.000], [2.248, 3.894, 0.000], [2.248, 1.298, 3.671]], "species": ["Rh", "Rh", "Tc", "I"], "fractional_positions": [[0.250, 0.250, 0.250], [0.750, 0.750, 0.750], [0.000, 0.000, 0.000], [0.500, 0.500, 0.500]]}


Record 10
{"formula": "Te2Rh2I", "functional": "SCAN", "state": "single point on PBEsol structure", "final_energy_ev_per_atom": -36.16, "raw_formation_energy_ev_per_atom": -0.405, "lattice_angstrom": [[3.945, 0.000, 0.000], [0.000, 3.945, 0.000], [-1.973, -1.973, 7.950]], "species": ["I", "Rh", "Rh", "Te", "Te"], "fractional_positions": [[0.000, 0.000, 0.000], [0.250, 0.750, 0.500], [0.750, 0.250, 0.500], [0.646, 0.646, 0.291], [0.354, 0.354, 0.709]]}


Record 11
{"formula": "TeRhI3", "functional": "SCAN", "state": "single point on PBEsol structure", "final_energy_ev_per_atom": -35.36, "raw_formation_energy_ev_per_atom": 0.893, "lattice_angstrom": [[-4.144, 1.590, -3.885], [3.836, -0.783, -4.412], [-1.705, -5.626, -0.484]], "species": ["I", "I", "I", "Te", "Rh"], "fractional_positions": [[0.500, 0.000, 0.000], [0.000, 0.500, 0.000], [0.000, 0.000, 0.500], [0.000, 0.000, 0.000], [0.500, 0.500, 0.500]]}


Record 12
{"formula": "TlTeRhI2", "functional": "SCAN", "state": "single point on PBEsol structure", "final_energy_ev_per_atom": -42.37, "raw_formation_energy_ev_per_atom": 1.007, "lattice_angstrom": [[-4.359, 1.757, -3.222], [-2.596, -5.144, 0.707], [-2.691, 2.009, 4.735]], "species": ["Rh", "I", "I", "Te", "Tl"], "fractional_positions": [[0.500, 0.500, 0.500], [0.000, 0.000, 0.500], [0.000, 0.500, 0.000], [0.500, 0.000, 0.000], [0.000, 0.000, 0.000]]}


Record 13
{"formula": "Ti3RhI", "functional": "SCAN", "state": "single point on PBEsol structure", "final_energy_ev_per_atom": -23.46, "raw_formation_energy_ev_per_atom": 0.261, "lattice_angstrom": [[4.739, 0.000, 0.000], [0.000, 4.739, 0.000], [0.000, 0.000, 4.739]], "species": ["Ti", "Ti", "Ti", "Rh", "I"], "fractional_positions": [[0.000, 0.000, 0.500], [0.500, 0.000, 0.000], [0.000, 0.500, 0.000], [0.000, 0.000, 0.000], [0.500, 0.500, 0.500]]}


Record 14
{"formula": "TiZnRh2I", "functional": "SCAN", "state": "single point on PBEsol structure", "final_energy_ev_per_atom": -25.98, "raw_formation_energy_ev_per_atom": 0.786, "lattice_angstrom": [[-4.010, -1.873, -0.988], [2.002, -2.662, -3.077], [0.713, -3.260, 3.284]], "species": ["Zn", "Ti", "Rh", "Rh", "I"], "fractional_positions": [[0.000, 0.000, 0.000], [0.000, 0.000, 0.500], [0.500, 0.000, 0.000], [0.000, 0.500, 0.000], [0.500, 0.500, 0.500]]}


Record 15
{"formula": "Y6RhI10", "functional": "SCAN", "state": "single point on PBEsol structure", "final_energy_ev_per_atom": -34.83, "raw_formation_energy_ev_per_atom": -1.408, "lattice_angstrom": [[-3.583, 6.255, -2.180], [-6.613, -5.194, 4.291], [5.279, 4.004, 6.779]], "species": ["Y", "Y", "Y", "Y", "Y", "Y", "I", "I", "I", "I", "I", "I", "I", "I", "I", "I", "Rh"], "fractional_positions": [[0.857, 0.628, 0.669], [0.531, 0.212, 0.414], [0.469, 0.788, 0.586], [0.384, 0.459, 0.744], [0.143, 0.372, 0.331], [0.616, 0.541, 0.256], [0.234, 0.410, 0.032], [0.766, 0.590, 0.968], [0.411, 0.125, 0.684], [0.718, 0.236, 0.145], [0.141, 0.040, 0.223], [0.282, 0.764, 0.855], [0.859, 0.960, 0.777], [0.589, 0.875, 0.316], [0.952, 0.311, 0.594], [0.048, 0.689, 0.406], [0.500, 0.500, 0.500]]}


Record 16
{"formula": "Ru2SI", "functional": "SCAN", "state": "single point on PBEsol structure", "final_energy_ev_per_atom": -28.20, "raw_formation_energy_ev_per_atom": 0.808, "lattice_angstrom": [[-3.323, -1.128, 2.736], [0.901, -1.598, 4.054], [-0.850, 2.468, 3.604]], "species": ["Ru", "Ru", "I", "S"], "fractional_positions": [[0.750, 0.750, 0.750], [0.250, 0.250, 0.250], [0.500, 0.500, 0.500], [0.000, 0.000, 0.000]]}


Record 17
{"formula": "SbRuSI2", "functional": "SCAN", "state": "single point on PBEsol structure", "final_energy_ev_per_atom": -29.72, "raw_formation_energy_ev_per_atom": 1.317, "lattice_angstrom": [[-4.254, -2.571, -1.826], [1.861, 0.328, -4.799], [2.444, -4.497, 0.640]], "species": ["I", "I", "Ru", "Sb", "S"], "fractional_positions": [[0.000, 0.000, 0.500], [0.000, 0.500, 0.000], [0.500, 0.500, 0.500], [0.500, 0.000, 0.000], [0.000, 0.000, 0.000]]}


Record 18
{"formula": "YRuS2I", "functional": "SCAN", "state": "single point on PBEsol structure", "final_energy_ev_per_atom": -23.11, "raw_formation_energy_ev_per_atom": 0.624, "lattice_angstrom": [[4.752, 0.000, 0.000], [0.000, 5.068, 0.000], [0.000, 0.000, 5.068]], "species": ["I", "S", "S", "Y", "Ru"], "fractional_positions": [[0.000, 0.000, 0.000], [0.000, 0.500, 0.000], [0.000, 0.000, 0.500], [0.500, 0.500, 0.500], [0.500, 0.000, 0.000]]}


Record 19
{"formula": "ScSb2RuI", "functional": "SCAN", "state": "single point on PBEsol structure", "final_energy_ev_per_atom": -31.18, "raw_formation_energy_ev_per_atom": 0.889, "lattice_angstrom": [[-3.483, 2.277, -3.409], [-4.077, -2.393, 2.567], [-0.429, 4.232, 3.265]], "species": ["Sb", "Sb", "I", "Sc", "Ru"], "fractional_positions": [[0.500, 0.000, 0.000], [0.000, 0.500, 0.000], [0.000, 0.000, 0.500], [0.000, 0.000, 0.000], [0.500, 0.500, 0.500]]}


Record 20
{"formula": "SbRuSeI2", "functional": "SCAN", "state": "single point on PBEsol structure", "final_energy_ev_per_atom": -32.52, "raw_formation_energy_ev_per_atom": 0.606, "lattice_angstrom": [[5.058, 0.000, 0.000], [0.000, 5.218, 0.000], [0.000, 0.000, 5.218]], "species": ["I", "I", "Se", "Ru", "Sb"], "fractional_positions": [[0.000, 0.000, 0.500], [0.000, 0.500, 0.000], [0.500, 0.500, 0.500], [0.000, 0.000, 0.000], [0.500, 0.000, 0.000]]}